# CeW4O12 | Alexandria via LeMat-Bulk | PBE with a Hubbard U | relaxed
data_CeW4O12
_cell_length_a 6.758
_cell_length_b 6.758
_cell_length_c 6.758
_cell_angle_alpha 108.16
_cell_angle_beta 108.16
_cell_angle_gamma 112.12
_space_group_name_H-M_alt 'P 1'
_space_group_IT_number 1
_space_group_name_Hall 'P 1'
loop_
_atom_site_label
_atom_site_fract_x
_atom_site_fract_y
_atom_site_fract_z
Ce1 0.000 0.000 0.000
W1 0.000 0.000 0.500
W2 0.000 0.500 0.000
W3 0.500 0.000 0.000
W4 0.500 0.500 0.500
O1 0.045 0.806 0.239
O2 0.194 0.432 0.239
O3 0.194 0.955 0.761
O4 0.293 0.293 0.585
O5 0.293 0.707 0.000
O6 0.432 0.194 0.239
O7 0.568 0.806 0.761
O8 0.707 0.293 0.000
O9 0.707 0.707 0.415
O10 0.806 0.045 0.239
O11 0.806 0.568 0.761
O12 0.955 0.194 0.761
# total energy	-131.75	eV/cell
# size of the total moment	4.09	μB per cell
# V	13.95	A^3/atom